# ZrCd2Cl (GGA-PBE, optimized geometry)
data_ZrCd2Cl
_chemical_formula_sum 'Zr1 Cd2 Cl1'
_cell_length_a 5.1244
_cell_length_b 5.1244
_cell_length_c 5.8843
_cell_angle_alpha 80.52
_cell_angle_beta 80.52
_cell_angle_gamma 35.80
_symmetry_space_group_name_H-M 'P 1'
_symmetry_Int_Tables_number 1
_symmetry_space_group_name_Hall 'P 1'
loop_
_atom_site_label
_atom_site_fract_x
_atom_site_fract_y
_atom_site_fract_z
Zr1 0.2468 0.2468 0.3102
Cd1 0.9893 0.9893 0.9825
Cl1 0.5241 0.5241 0.4199
Cd2 0.7398 0.7398 0.7875
# Uncorrected energy: -13.4 eV per cell
# Space-group type: Cm

---

# ZrCd2Cl (GGA-PBE, optimized geometry)
data_ZrCd2Cl
_chemical_formula_sum 'Zr1 Cd2 Cl1'
_cell_length_a 3.1011
_cell_length_b 4.7483
_cell_length_c 5.8839
_cell_angle_alpha 90.00
_cell_angle_beta 90.00
_cell_angle_gamma 90.00
_symmetry_space_group_name_H-M 'P 1'
_symmetry_Int_Tables_number 1
_symmetry_space_group_name_Hall 'P 1'
loop_
_atom_site_label
_atom_site_fract_x
_atom_site_fract_y
_atom_site_fract_z
Cd1 0.5000 0.5000 0.0000
Zr1 0.0000 0.5000 0.5000
Cl1 0.5000 0.0000 0.5000
Cd2 0.0000 0.0000 0.0000
# Uncorrected energy: -13.1 eV per cell
# Space-group type: Pmmm